VASP calculation (PBE-GGA) on a geometry-optimized Nd5SmY3 structure.

Computed properties:
Final energy ... -4.927 eV/atom
Total magnetic moment ... 0.00 μB/f.u.
Relative energy among the computed polymorphs ... 126 meV/atom
ρ ... 5.702 g/cm3
E_form ... 401 meV/atom

Cell: 9.4703 9.4703 12.7991 Å, 52.33 52.33 51.96°
Positions (direct):
Nd: 0.9116 0.5122 0.2252
Nd: 0.3165 0.6835 0.0000
Nd: 0.6328 0.6328 0.0600
Nd: 0.4394 0.4394 0.4248
Nd: 0.5606 0.5606 0.5752
Nd: 0.3672 0.3672 0.9400
Nd: 0.5122 0.9116 0.2252
Nd: 0.6835 0.3165 0.0000
Nd: 0.0884 0.4878 0.7748
Nd: 0.4878 0.0884 0.7748
Sm: 0.8912 0.8912 0.8709
Sm: 0.1088 0.1088 0.1291
Y: 0.7034 0.7034 0.6889
Y: 0.8390 0.8390 0.3439
Y: 0.0000 0.0000 0.0000
Y: 0.0000 0.0000 0.5000
Y: 0.2966 0.2966 0.3111
Y: 0.1610 0.1610 0.6561